Tb2SmOsO8 after structural relaxation. Source: Alexandria via LeMat-Bulk, functional PBE.

Cell and atoms, written as POSCAR:
```
Tb2SmOsO8
1.0
-0.679 -3.442 3.676
-2.441 -3.029 -3.272
5.952 -2.974 -1.685
O Tb Sm Os
8 2 1 1
Cartesian
0.219 -3.978 2.052
0.830 -5.938 -0.563
-2.305 -4.783 0.297
3.727 -5.729 1.059
-0.894 -3.716 -2.341
5.138 -4.663 -1.578
2.002 -3.507 -0.718
2.613 -5.467 -3.334
-0.058 -3.985 -0.223
2.890 -5.460 -1.058
2.976 -1.487 -0.843
0.000 0.000 0.000
```

Summary:
The density comes out at 7.36 g cm⁻³. The calculated total energy comes out at -94.9 eV/cell.